{
  "formula": "Tb6Tl2N",
  "functional": "GGA-PBE",
  "state": "optimized geometry",
  "cell": [[0.000, 4.884, 4.884], [4.884, 0.000, 4.884], [4.884, 4.884, 0.000]],
  "species": ["Tb", "Tb", "Tb", "Tb", "Tb", "Tb", "Tl", "Tl", "N"],
  "fractional_positions": [[0.244, 0.244, 0.756], [0.244, 0.756, 0.244], [0.244, 0.756, 0.756], [0.756, 0.244, 0.244], [0.756, 0.244, 0.756], [0.756, 0.756, 0.244], [0.250, 0.250, 0.250], [0.750, 0.750, 0.750], [0.000, 0.000, 0.000]],
  "spacegroup": "No. 225",
  "final_energy_ev_per_atom": -5.10,
  "relative_energy_mev_per_atom": 0.0
}

---

{
  "formula": "Tb5Tl2N2",
  "functional": "GGA-PBE",
  "state": "optimized geometry",
  "cell": [[4.764, 0.000, 0.000], [0.000, 4.764, 0.000], [0.000, 0.000, 9.619]],
  "species": ["Tb", "Tb", "Tb", "Tb", "Tb", "Tl", "Tl", "N", "N"],
  "fractional_positions": [[0.000, 0.000, 0.000], [0.000, 0.500, 0.276], [0.000, 0.500, 0.724], [0.500, 0.000, 0.276], [0.500, 0.000, 0.724], [0.500, 0.500, 0.000], [0.500, 0.500, 0.500], [0.000, 0.000, 0.240], [0.000, 0.000, 0.760]],
  "spacegroup": "No. 123",
  "final_energy_ev_per_atom": -5.77
}

---

{
  "formula": "Tb4Tl2N",
  "functional": "GGA-PBE",
  "state": "optimized geometry",
  "cell": [[6.526, 0.000, 0.000], [0.000, 6.931, 0.000], [-2.986, 0.000, 8.516]],
  "species": ["Tb", "Tb", "Tb", "Tb", "Tb", "Tb", "Tb", "Tb", "Tl", "Tl", "Tl", "Tl", "N", "N"],
  "fractional_positions": [[0.029, 0.004, 0.277], [0.029, 0.496, 0.277], [0.359, 0.750, 0.049], [0.420, 0.750, 0.651], [0.580, 0.250, 0.349], [0.641, 0.250, 0.951], [0.971, 0.504, 0.723], [0.971, 0.996, 0.723], [0.198, 0.250, 0.026], [0.312, 0.250, 0.590], [0.688, 0.750, 0.410], [0.802, 0.750, 0.974], [0.199, 0.750, 0.793], [0.801, 0.250, 0.207]],
  "spacegroup": "No. 11",
  "final_energy_ev_per_atom": -5.15,
  "relative_energy_mev_per_atom": 49.2
}

---

{
  "formula": "Tb2TlN",
  "functional": "GGA-PBE",
  "state": "optimized geometry",
  "cell": [[3.568, 0.000, 0.000], [-1.784, 3.090, 0.000], [0.000, 0.000, 23.763]],
  "species": ["Tb", "Tb", "Tb", "Tb", "Tb", "Tb", "Tl", "Tl", "Tl", "N", "N", "N"],
  "fractional_positions": [[0.000, 0.000, 0.223], [0.000, 0.000, 0.777], [0.333, 0.667, 0.444], [0.333, 0.667, 0.890], [0.667, 0.333, 0.110], [0.667, 0.333, 0.556], [0.000, 0.000, 0.000], [0.333, 0.667, 0.667], [0.667, 0.333, 0.333], [0.000, 0.000, 0.500], [0.333, 0.667, 0.167], [0.667, 0.333, 0.833]],
  "spacegroup": "No. 166",
  "final_energy_ev_per_atom": -5.97
}

---

{
  "formula": "Tb4Tl2N",
  "functional": "GGA-PBE",
  "state": "optimized geometry",
  "cell": [[4.778, 0.000, 0.000], [0.000, 4.778, 0.000], [0.000, 0.000, 15.873]],
  "species": ["Tb", "Tb", "Tb", "Tb", "Tb", "Tb", "Tb", "Tb", "Tl", "Tl", "Tl", "Tl", "N", "N"],
  "fractional_positions": [[0.000, 0.000, 0.163], [0.000, 0.000, 0.837], [0.000, 0.500, 0.000], [0.000, 0.500, 0.500], [0.500, 0.000, 0.000], [0.500, 0.000, 0.500], [0.500, 0.500, 0.337], [0.500, 0.500, 0.663], [0.000, 0.000, 0.362], [0.000, 0.000, 0.638], [0.500, 0.500, 0.138], [0.500, 0.500, 0.862], [0.000, 0.000, 0.000], [0.500, 0.500, 0.500]],
  "spacegroup": "No. 139",
  "final_energy_ev_per_atom": -5.20,
  "relative_energy_mev_per_atom": 0.0
}

---

{
  "formula": "Tb2TmTlN",
  "functional": "GGA-PBE",
  "state": "optimized geometry",
  "cell": [[4.851, 0.000, 0.000], [0.000, 4.851, 0.000], [0.000, 0.000, 4.740]],
  "species": ["Tb", "Tb", "Tm", "Tl", "N"],
  "fractional_positions": [[0.000, 0.500, 0.000], [0.500, 0.000, 0.000], [0.000, 0.000, 0.500], [0.500, 0.500, 0.500], [0.000, 0.000, 0.000]],
  "spacegroup": "No. 123",
  "final_energy_ev_per_atom": -5.82
}

---

{
  "formula": "TbY2TlN",
  "functional": "GGA-PBE",
  "state": "optimized geometry",
  "cell": [[4.833, 0.000, 0.000], [0.000, 4.833, 0.000], [0.000, 0.000, 4.852]],
  "species": ["Tb", "Y", "Y", "Tl", "N"],
  "fractional_positions": [[0.000, 0.000, 0.000], [0.000, 0.500, 0.500], [0.500, 0.000, 0.500], [0.500, 0.500, 0.000], [0.000, 0.000, 0.500]],
  "spacegroup": "No. 123",
  "final_energy_ev_per_atom": -6.60
}

---

{
  "formula": "Tb2YTlN",
  "functional": "GGA-PBE",
  "state": "optimized geometry",
  "cell": [[4.852, 0.000, 0.000], [0.000, 4.852, 0.000], [0.000, 0.000, 4.832]],
  "species": ["Tb", "Tb", "Y", "Tl", "N"],
  "fractional_positions": [[0.000, 0.500, 0.000], [0.500, 0.000, 0.000], [0.000, 0.000, 0.500], [0.500, 0.500, 0.500], [0.000, 0.000, 0.000]],
  "spacegroup": "No. 123",
  "final_energy_ev_per_atom": -6.22
}

---

Number 1: E_form (uncorrected) -0.57 eV per atom. Number 2: E_form (uncorrected) -0.82 eV per atom. Number 3: E_form (uncorrected) -0.64 eV per atom. Number 4: E_form (uncorrected) -0.98 eV per atom. Number 5: E_form (uncorrected) -0.69 eV per atom. Number 6: E_form (uncorrected) -0.94 eV per atom. Number 7: E_form (uncorrected) -0.95 eV per atom. Number 8: E_form (uncorrected) -0.94 eV per atom.